No. 1
# Ce3Ho2Rh2 | the Alexandria database | GGA-PBE | optimized geometry
data_Ce3Ho2Rh2
_chemical_formula_sum 'Ce6 Ho4 Rh4'
_cell_length_a 11.293
_cell_length_b 4.032
_cell_length_c 8.615
_cell_angle_alpha 90.00
_cell_angle_beta 115.05
_cell_angle_gamma 90.00
_symmetry_space_group_name_H-M 'C 1 2/m 1'
_symmetry_Int_Tables_number 12
_symmetry_space_group_name_Hall '-C 2y'
loop_
_atom_site_label
_atom_site_type_symbol
_atom_site_fract_x
_atom_site_fract_y
_atom_site_fract_z
_atom_site_occupancy
Ce1 Ce 0.000 0.000 0.000 1
Ce2 Ce 0.157 0.000 0.460 1
Ho1 Ho 0.151 0.500 0.803 1
Rh1 Rh 0.158 0.500 0.175 1
# E_form in eV/f.u.: -3.27
# Total magnetization in μB/f.u.: 0.00
# VASP energy in eV/atom: -6.418

=====

No. 2
# Ba2LaNpO6 | the Alexandria database | GGA-PBE | optimized geometry
data_Ba2LaNpO6
_chemical_formula_sum 'Ba4 La2 Np2 O12'
_cell_length_a 6.309
_cell_length_b 6.332
_cell_length_c 10.896
_cell_angle_alpha 90.00
_cell_angle_beta 125.08
_cell_angle_gamma 90.00
_symmetry_space_group_name_H-M 'P 1 21/c 1'
_symmetry_Int_Tables_number 14
_symmetry_space_group_name_Hall '-P 2ybc'
loop_
_atom_site_label
_atom_site_type_symbol
_atom_site_fract_x
_atom_site_fract_y
_atom_site_fract_z
_atom_site_occupancy
Ba1 Ba 0.242 0.028 0.250 1
La1 La 0.500 0.000 0.000 1
Np1 Np 0.000 0.000 0.500 1
O1 O 0.158 0.231 0.954 1
O2 O 0.224 0.704 0.958 1
O3 O 0.316 0.022 0.735 1
# E_form (uncorrected) in eV/atom: -3.0738
# Total magnetization in μB/f.u.: 2.00
# VASP energy in eV/atom: -8.220

=====

No. 3
# RbPdPb3 | the Alexandria database | GGA-PBE | optimized geometry
data_RbPdPb3
_chemical_formula_sum 'Rb1 Pd1 Pb3'
_cell_length_a 5.549
_cell_length_b 5.549
_cell_length_c 5.549
_cell_angle_alpha 90.00
_cell_angle_beta 90.00
_cell_angle_gamma 90.00
_symmetry_space_group_name_H-M 'P m -3 m'
_symmetry_Int_Tables_number 221
_symmetry_space_group_name_Hall '-P 4 2 3'
loop_
_atom_site_label
_atom_site_type_symbol
_atom_site_fract_x
_atom_site_fract_y
_atom_site_fract_z
_atom_site_occupancy
Rb1 Rb 0.000 0.000 0.000 1
Pd1 Pd 0.500 0.500 0.500 1
Pb1 Pb 0.000 0.500 0.500 1
# E_form in eV/f.u.: 0.07
# Total magnetization in μB/f.u.: 0.00
# VASP energy in eV/atom: -3.443

=====

Density for every record listed, in sequence, given in g/cm³: 8.93 6.96 7.91.
DOS at the Fermi energy for every record listed, in sequence, given in states/eV per atom: 1.769 0.774 0.851.